# PBE Na3Y3OsO8, relaxed
# Electronic total energy, Ha/atom: -0.268
# Theoretical density, kg/m3: 5010
data_Na3Y3OsO8
_space_group_name_H-M_alt 'R -3 m'
_space_group_IT_number 166
_space_group_name_Hall '-R 3 2"'
_cell_length_a 6.7048
_cell_length_b 6.7048
_cell_length_c 16.7013
_cell_angle_alpha 90.00
_cell_angle_beta 90.00
_cell_angle_gamma 120.00
loop_
_atom_site_label
_atom_site_fract_x
_atom_site_fract_y
_atom_site_fract_z
Na1 0.0000 0.5000 0.0000
Y1 0.0000 0.5000 0.5000
Os1 0.0000 0.0000 0.5000
O1 0.0000 0.0000 0.2370
O2 0.0290 0.5145 0.2334